(1)
CeLuPuOs, optimized geometry, DFT PBE; calculated formation energy = 29 kJ/mol of formula units; symmetry = F-43m (216); total moment = 6.83 μB/f.u.
1.0
7.074 0.000 0.000
0.000 7.074 0.000
0.000 0.000 7.074
Ce Lu Pu Os
4 4 4 4
Direct
0.000 0.000 0.000
0.000 0.500 0.500
0.500 0.000 0.500
0.500 0.500 0.000
0.000 0.000 0.500
0.000 0.500 0.000
0.500 0.000 0.000
0.500 0.500 0.500
0.250 0.250 0.750
0.250 0.750 0.250
0.750 0.250 0.250
0.750 0.750 0.750
0.250 0.250 0.250
0.250 0.750 0.750
0.750 0.250 0.750
0.750 0.750 0.250

---

(2)
CeLuOsRh, optimized geometry, DFT PBE; calculated formation energy = -199 kJ/mol of formula units; symmetry = F-43m (216); total moment = 0.04 μB/f.u.
1.0
6.828 0.000 0.000
0.000 6.828 0.000
0.000 0.000 6.828
Ce Lu Os Rh
4 4 4 4
Direct
0.000 0.000 0.000
0.000 0.500 0.500
0.500 0.000 0.500
0.500 0.500 0.000
0.000 0.000 0.500
0.000 0.500 0.000
0.500 0.000 0.000
0.500 0.500 0.500
0.250 0.250 0.250
0.250 0.750 0.750
0.750 0.250 0.750
0.750 0.750 0.250
0.250 0.250 0.750
0.250 0.750 0.250
0.750 0.250 0.250
0.750 0.750 0.750

---

(3)
CeLuTcOs, optimized geometry, DFT PBE; calculated formation energy = -54 kJ/mol of formula units; symmetry = F-43m (216); total moment = 0.00 μB/f.u.
1.0
6.796 0.000 0.000
0.000 6.796 0.000
0.000 0.000 6.796
Ce Lu Tc Os
4 4 4 4
Direct
0.000 0.000 0.000
0.000 0.500 0.500
0.500 0.000 0.500
0.500 0.500 0.000
0.000 0.000 0.500
0.000 0.500 0.000
0.500 0.000 0.000
0.500 0.500 0.500
0.250 0.250 0.250
0.250 0.750 0.750
0.750 0.250 0.750
0.750 0.750 0.250
0.250 0.250 0.750
0.250 0.750 0.250
0.750 0.250 0.250
0.750 0.750 0.750

---

The lowest calculated formation energy belongs to which entry?
CeLuOsRh